MgTcSn4 | PBE | optimized geometry

Cell and atoms, written as POSCAR:
```
MgTcSn4
1.0
-3.460 3.460 5.583
3.460 -3.460 5.583
3.460 3.460 -5.583
Mg Tc Sn
2 2 8
Cartesian
0.000 0.000 0.000 Mg
0.000 0.000 5.583 Mg
0.000 0.000 2.791 Tc
0.000 0.000 8.374 Tc
4.533 1.074 -1.583 Sn
1.074 2.386 -1.583 Sn
4.533 1.074 1.583 Sn
1.074 2.386 1.583 Sn
2.386 1.074 3.999 Sn
-1.074 2.386 3.999 Sn
2.386 1.074 7.166 Sn
-1.074 2.386 7.166 Sn
```

Results
The space group is No. 140. As for the total energy: -57.6 eV for the cell shown. The volume comes out at 22.27 A^3/atom.

=====

TmMgSn2 | PBE | optimized geometry

Cell and atoms, written as POSCAR:
```
TmMgSn2
1.0
-4.073 4.073 5.922
4.073 -4.073 5.922
4.073 4.073 -5.922
Tm Mg Sn
4 4 8
Cartesian
0.000 0.000 1.845 Tm
4.073 0.000 2.961 Tm
0.000 4.073 2.961 Tm
0.000 0.000 9.999 Tm
2.757 2.757 -1.253 Mg
1.316 -1.316 7.175 Mg
1.316 1.316 4.669 Mg
-1.316 1.316 7.175 Mg
2.586 0.000 0.000 Sn
5.560 0.000 0.000 Sn
1.602 -1.602 3.956 Sn
0.000 2.586 0.000 Sn
2.471 2.471 1.967 Sn
-1.602 1.602 3.956 Sn
0.000 5.560 0.000 Sn
1.602 1.602 7.889 Sn
```

Results
The space group is No. 121. As for the total energy: -63.6 eV for the cell shown. The volume comes out at 24.56 A^3/atom.